First-principles (GGA-PBEsol) data for a relaxed structure of TaSb2Pb, as listed in the Alexandria database.

It has space group Cmm2 (No. 35), with a = 3.896 Å, b = 4.788 Å, c = 10.499 Å, α = 90.00°, β = 90.00° and γ = 90.00°. The asymmetric unit holds Ta at (0.000, 0.000, 0.000), Sb at (0.000, 0.000, 0.493), Sb at (0.000, 0.500, 0.200) and Pb at (0.000, 0.500, 0.777).

The formation energy from raw total energies is 0.307 eV per atom. For the calculated density, the calculation gives 10.7 Mg/m³. As for the total DFT energy (no corrections): -6.110 eV/atom. Its total magnetization is 0.0 μB/cell.



First-principles (GGA-PBEsol) data for a relaxed structure of Ta2SbPb, as listed in the Alexandria database.

It has space group C2/m (No. 12), with a = 9.593 Å, b = 3.431 Å, c = 5.067 Å, α = 90.00°, β = 96.63° and γ = 90.00°. The asymmetric unit holds Ta at (0.247, 0.000, 0.227), Sb at (0.000, 0.500, 0.000) and Pb at (0.000, 0.000, 0.500).

The formation energy from raw total energies is 0.439 eV per atom. The value obtained for the energy relative to the lowest polymorph listed for this composition is 0.17 eV/f.u. For the calculated density, the calculation gives 13.8 Mg/m³. As for the total DFT energy (no corrections): -7.975 eV/atom. Its total magnetization is 0.0 μB/cell.



First-principles (GGA-PBEsol) data for a relaxed structure of Ta2SbPb, as listed in the Alexandria database.

It has space group Imm2 (No. 44), with a = 3.549 Å, b = 4.843 Å, c = 9.470 Å, α = 90.00°, β = 90.00° and γ = 90.00°. The asymmetric unit holds Ta at (0.000, 0.000, 0.000), Ta at (0.000, 0.500, 0.268), Sb at (0.000, 0.000, 0.531) and Pb at (0.000, 0.500, 0.754).

The formation energy from raw total energies is 0.396 eV per atom. The value obtained for the energy relative to the lowest polymorph listed for this composition is 0.00 eV/f.u. For the calculated density, the calculation gives 14.1 Mg/m³. As for the total DFT energy (no corrections): -8.019 eV/atom. Its total magnetization is 0.0 μB/cell.



First-principles (GGA-PBEsol) data for a relaxed structure of TaSb2Pb, as listed in the Alexandria database.

It has space group P4mm (No. 99), with a = 3.071 Å, b = 3.071 Å, c = 10.429 Å, α = 90.00°, β = 90.00° and γ = 90.00°. The asymmetric unit holds Ta at (0.000, 0.000, 0.000), Sb at (0.000, 0.000, 0.514), Sb at (0.500, 0.500, 0.801) and Pb at (0.500, 0.500, 0.224).

The formation energy from raw total energies is 0.325 eV per atom. For the calculated density, the calculation gives 10.7 Mg/m³. As for the total DFT energy (no corrections): -6.091 eV/atom. Its total magnetization is 0.0 μB/cell.



First-principles (GGA-PBEsol) data for a relaxed structure of Tc2SbPb, as listed in the Alexandria database.

It has space group Cm (No. 8), with a = 9.748 Å, b = 3.163 Å, c = 4.996 Å, α = 90.00°, β = 110.55° and γ = 90.00°. The asymmetric unit holds Tc at (0.000, 0.000, 0.000), Tc at (0.212, 0.500, 0.372), Sb at (0.464, 0.000, 0.510) and Pb at (0.248, 0.000, 0.882).

The formation energy from raw total energies is 0.433 eV per atom. The value obtained for the energy relative to the lowest polymorph listed for this composition is 1.00 eV/f.u. For the calculated density, the calculation gives 12.1 Mg/m³. As for the total DFT energy (no corrections): -7.339 eV/atom. Its total magnetization is 0.0 μB/cell.



First-principles (GGA-PBEsol) data for a relaxed structure of TcSbPb, as listed in the Alexandria database.

It has space group F-43m (No. 216), with a = 6.711 Å, b = 6.711 Å, c = 6.711 Å, α = 90.00°, β = 90.00° and γ = 90.00°. The asymmetric unit holds Tc at (0.000, 0.000, 0.000), Sb at (0.250, 0.250, 0.250) and Pb at (0.000, 0.000, 0.500).

The formation energy from raw total energies is 1.053 eV per atom. For the calculated density, the calculation gives 9.4 Mg/m³. As for the total DFT energy (no corrections): -5.555 eV/atom. Its total magnetization is 7.1 μB/cell.



First-principles (GGA-PBEsol) data for a relaxed structure of Tc2SbPb, as listed in the Alexandria database.

It has space group P4mm (No. 99), with a = 3.051 Å, b = 3.051 Å, c = 8.357 Å, α = 90.00°, β = 90.00° and γ = 90.00°. The asymmetric unit holds Tc at (0.000, 0.000, 0.000), Tc at (0.500, 0.500, 0.178), Sb at (0.500, 0.500, 0.782) and Pb at (0.000, 0.000, 0.427).

The formation energy from raw total energies is 0.184 eV per atom. The value obtained for the energy relative to the lowest polymorph listed for this composition is 0.00 eV/f.u. For the calculated density, the calculation gives 11.2 Mg/m³. As for the total DFT energy (no corrections): -7.589 eV/atom. Its total magnetization is 0.0 μB/cell.



First-principles (GGA-PBEsol) data for a relaxed structure of Tc2Sb2Pb, as listed in the Alexandria database.

It has space group I4/mmm (No. 139), with a = 4.641 Å, b = 4.641 Å, c = 10.231 Å, α = 90.00°, β = 90.00° and γ = 90.00°. The asymmetric unit holds Tc at (0.000, 0.500, 0.250), Sb at (0.000, 0.000, 0.138) and Pb at (0.000, 0.000, 0.500).

The formation energy from raw total energies is 0.362 eV per atom. For the calculated density, the calculation gives 9.7 Mg/m³. As for the total DFT energy (no corrections): -6.767 eV/atom. Its total magnetization is 0.0 μB/cell.